{"formula": "NaSrSN2", "functional": "GGA-PBE", "state": "optimized geometry", "volume_a3_per_cell": 144, "magmom_total_mub_per_cell": 4.96, "sg": "P4/mmm", "energy_ev_per_atom": -3.825, "e_form_raw_ev_per_atom": 0.931, "polymorph_energy_mev_per_atom": 100, "cell": [[4.9782, 0.0000, 0.0000], [0.0000, 4.9782, 0.0000], [0.0000, 0.0000, 5.8233]], "species": ["Na", "Sr", "S", "N", "N"], "fractional_positions": [[0.0000, 0.0000, 0.0000], [0.5000, 0.5000, 0.5000], [0.5000, 0.5000, 0.0000], [0.0000, 0.5000, 0.5000], [0.5000, 0.0000, 0.5000]]}